(1)
The following is a PBE-GGA calculation of Li2Mg2Rh after structural relaxation, from Alexandria via LeMat-Bulk.

Values from the calculation:
* raw total energy: -31.09 eV per cell
* distance to the lowest polymorph of the same formula: 0 meV/atom
* spin magnetization: 0.000 μB/atom
* ΔH_f (0 K): -0.24 eV per atom

Unit cell a=3.2482 b=18.1396 c=3.1322 alpha=90.00 beta=90.00 gamma=90.00
Last column: nearest neighbours and their distance in Å.
Space group Cmmm (No. 65)
Inequivalent atoms, fractional coordinates:
1 Li 0.0000 0.1882 0.0000 x4  2 Li 2.77, 4 Mg 2.99
2 Mg 0.0000 0.4196 0.5000 x4  4 Rh 2.69, 1 Mg 2.92, 4 Li 2.99
3 Rh 0.0000 0.0000 0.0000 x2  8 Mg 2.69

(2)
The following is a PBE-GGA calculation of YTa2Mn after structural relaxation, from Alexandria via LeMat-Bulk.

Values from the calculation:
* raw total energy: -76.82 eV per cell
* distance to the lowest polymorph of the same formula: 30 meV/atom
* spin magnetization: 0.000 μB/atom
* ΔH_f (0 K): 0.23 eV per atom

Unit cell a=3.1435 b=4.9111 c=9.7500 alpha=90.00 beta=90.00 gamma=90.00
Last column: nearest neighbours and their distance in Å.
Space group Immm (No. 71)
Inequivalent atoms, fractional coordinates:
1 Y 0.0000 0.0000 0.0000 x2  4 Mn 2.92, 2 Y 3.14, 8 Ta 3.21-3.22
2 Ta 0.0000 0.5000 0.2119 x4  2 Mn 2.60
3 Mn 0.0000 0.0000 0.5000 x2  4 Ta 2.60

(3)
The following is a PBE-GGA calculation of RbNa2Ac after structural relaxation, from Alexandria via LeMat-Bulk.

Values from the calculation:
* raw total energy: -19.94 eV per cell
* spin magnetization: 0.000 μB/atom
* ΔH_f (0 K): 0.27 eV per atom

Unit cell a=3.9482 b=3.9482 c=44.7064 alpha=90.00 beta=90.00 gamma=120.00
Last column: nearest neighbours and their distance in Å.
Space group R-3m (No. 166, hexagonal axes)
Inequivalent atoms, fractional coordinates:
1 Rb 0.0000 0.0000 0.0000 x3  6 Rb 3.95
2 Na 0.0000 0.0000 0.4182 x6  1 Ac 3.66, 6 Na 3.95
3 Ac 0.0000 0.0000 0.5000 x3  2 Na 3.66, 6 Ac 3.95

(4)
The following is a PBE-GGA calculation of LiY2Pt2 after structural relaxation, from Alexandria via LeMat-Bulk.

Values from the calculation:
* raw total energy: -63.83 eV per cell
* distance to the lowest polymorph of the same formula: 0 meV/atom
* spin magnetization: 0.000 μB/atom
* ΔH_f (0 K): -1.00 eV per atom

Unit cell a=4.2580 b=5.7792 c=8.4266 alpha=90.00 beta=90.00 gamma=90.00
Last column: nearest neighbours and their distance in Å.
Space group Immm (No. 71)
Inequivalent atoms, fractional coordinates:
1 Li 0.0000 0.0000 0.0000 x2  4 Pt 2.60
2 Y 0.0000 0.5000 0.1998 x4  6 Pt 2.94-3.05
3 Pt 0.0000 0.2409 0.5000 x4  2 Li 2.60, 1 Pt 2.78

(5)
The following is a PBE-GGA calculation of KMg2Sc after structural relaxation, from Alexandria via LeMat-Bulk.

Values from the calculation:
* raw total energy: -32.96 eV per cell
* distance to the lowest polymorph of the same formula: 431 meV/atom
* spin magnetization: 0.000 μB/atom
* ΔH_f (0 K): 0.59 eV per atom

Unit cell a=8.7662 b=8.7662 c=6.8002 alpha=90.00 beta=90.00 gamma=90.00
Last column: nearest neighbours and their distance in Å.
Space group I-42d (No. 122)
Inequivalent atoms, fractional coordinates:
1 K 0.0000 0.0000 0.0000 x4  4 Mg 3.37, 2 Sc 3.40
2 Mg 0.2242 0.2500 0.6250 x8  2 Sc 3.06, 2 K 3.37, 2 Mg 3.43
3 Sc 0.0000 0.0000 0.5000 x4  4 Mg 3.06, 2 K 3.40

(6)
The following is a PBE-GGA calculation of Rb3Cu2Br7 after structural relaxation, from Alexandria via LeMat-Bulk.

Values from the calculation:
* raw total energy: -69.51 eV per cell
* distance to the lowest polymorph of the same formula: 14 meV/atom
* spin magnetization: 0.000 μB/atom
* formation energy without anion corrections: -1.00 eV/atom

Unit cell a=5.3303 b=26.8345 c=5.1531 alpha=90.00 beta=90.00 gamma=90.00
Last column: nearest neighbours and their distance in Å.
Space group Cmmm (No. 65)
Inequivalent atoms, fractional coordinates:
1 Rb 0.0000 0.0000 0.0000 x2  12 Br 3.59-3.71
2 Rb 0.0000 0.1807 0.0000 x4  8 Br 3.48-3.72
3 Cu 0.0000 0.4024 0.5000 x4  6 Br 2.54-2.67
4 Br 0.0000 0.0932 0.5000 x4  2 Cu 2.67
5 Br 0.0000 0.3078 0.5000 x4  1 Cu 2.54
6 Br 0.0000 0.4064 0.0000 x4  2 Cu 2.58
7 Br 0.0000 0.5000 0.5000 x2  2 Cu 2.62

(7)
The following is a PBE-GGA calculation of Hf3ZnCd after structural relaxation, from Alexandria via LeMat-Bulk.

Values from the calculation:
* raw total energy: -29.07 eV per cell
* distance to the lowest polymorph of the same formula: 0 meV/atom
* spin magnetization: 0.000 μB/atom
* ΔH_f (0 K): 0.60 eV per atom

Unit cell a=4.9238 b=4.9238 c=4.9238 alpha=90.00 beta=90.00 gamma=90.00
Last column: nearest neighbours and their distance in Å.
Space group Pm-3m (No. 221)
Inequivalent atoms, fractional coordinates:
1 Hf 0.0000 0.0000 0.5000 x3  2 Zn 2.46
2 Zn 0.0000 0.0000 0.0000 x1  6 Hf 2.46
3 Cd 0.5000 0.5000 0.5000 x1  12 Hf 3.48

(8)
The following is a PBE-GGA calculation of MgOs2Ru after structural relaxation, from Alexandria via LeMat-Bulk.

Values from the calculation:
* raw total energy: -64.12 eV per cell
* spin magnetization: 0.000 μB/atom
* ΔH_f (0 K): 0.32 eV per atom

Unit cell a=3.9041 b=3.9041 c=7.6753 alpha=90.00 beta=90.00 gamma=90.00
Last column: nearest neighbours and their distance in Å.
Space group I-4m2 (No. 119)
Inequivalent atoms, fractional coordinates:
1 Mg 0.0000 0.0000 0.0000 x2  8 Os 2.74-2.76, 4 Ru 2.74
2 Os 0.0000 0.0000 0.5000 x2  4 Ru 2.74, 4 Os 2.74, 4 Mg 2.76
3 Os 0.0000 0.5000 0.7500 x2  4 Mg 2.74, 4 Os 2.74, 4 Ru 2.76
4 Ru 0.0000 0.5000 0.2500 x2  8 Os 2.74-2.76, 4 Mg 2.74

| no. | density of states at the Fermi level (states/eV/f.u.) |
| --- | --- |
| 1 | 2.0 |
| 2 | 3.4 |
| 3 | 3.3 |
| 4 | 3.1 |
| 5 | 4.0 |
| 6 | 3.5 |
| 7 | 1.5 |
| 8 | 6.2 |